1.
This record from the Alexandria database describes crystalline Tb2Nd4Dy at its relaxed geometry. The functional is PBE.

It has space group P2_1/m (No. 11), with a = 6.228 Å, b = 6.684 Å, c = 11.720 Å, α = 90.00°, β = 104.42° and γ = 90.00°. The distinct sites, in fractional coordinates, are Tb at (0.105, 0.250, 0.495), Tb at (0.212, 0.250, 0.075), Nd at (0.147, 0.010, 0.785), Nd at (0.349, 0.750, 0.051), Nd at (0.465, 0.750, 0.637) and Dy at (0.351, 0.750, 0.339).

The formation energy is 0.1226 eV per atom. For the calculated volume, the calculation gives 472.6 Å³/cell. The offset from the most stable computed form comes out at 63.4 meV/atom.


2.
This record from the Alexandria database describes crystalline Tb5Nd2Dy5 at its relaxed geometry. The functional is PBE.

It has space group C2/m (No. 12), with a = 15.165 Å, b = 5.050 Å, c = 11.297 Å, α = 90.00°, β = 116.55° and γ = 90.00°. The distinct sites, in fractional coordinates, are Tb at (0.000, 0.000, 0.000), Tb at (0.084, 0.000, 0.750), Tb at (0.166, 0.000, 0.500), Nd at (0.083, 0.500, 0.249), Dy at (0.000, 0.500, 0.500), Dy at (0.168, 0.500, 0.000) and Dy at (0.249, 0.500, 0.750).

The formation energy is 0.0171 eV per atom. For the calculated volume, the calculation gives 773.8 Å³/cell.


What did the first record say?
This record from the Alexandria database describes crystalline Tb2Nd4Dy at its relaxed geometry. The functional is PBE.

It has space group P2_1/m (No. 11), with a = 6.228 Å, b = 6.684 Å, c = 11.720 Å, α = 90.00°, β = 104.42° and γ = 90.00°. The distinct sites, in fractional coordinates, are Tb at (0.105, 0.250, 0.495), Tb at (0.212, 0.250, 0.075), Nd at (0.147, 0.010, 0.785), Nd at (0.349, 0.750, 0.051), Nd at (0.465, 0.750, 0.637) and Dy at (0.351, 0.750, 0.339).

The formation energy is 0.1226 eV per atom. For the calculated volume, the calculation gives 472.6 Å³/cell. The offset from the most stable computed form comes out at 63.4 meV/atom.